#one
# LuAlCdCu PBE optimized geometry
# Symmetry: F-43m
# Total magnetization: 0.0 μB/f.u.
data_LuAlCdCu
_cell_length_a 4.7092
_cell_length_b 4.7092
_cell_length_c 4.7092
_cell_angle_alpha 60.00
_cell_angle_beta 60.00
_cell_angle_gamma 60.00
_space_group_name_H-M_alt 'P 1'
_space_group_IT_number 1
loop_
_space_group_symop_operation_xyz
'x,y,z'
loop_
_atom_site_label
_atom_site_fract_x
_atom_site_fract_y
_atom_site_fract_z
Al1 0.0000 0.0000 0.0000
Cd1 0.2500 0.2500 0.2500
Cu1 0.7500 0.7500 0.7500
Lu1 0.5000 0.5000 0.5000



#two
# LuAlCdCu PBE optimized geometry
# Symmetry: F-43m
# Total magnetization: 0.0 μB/f.u.
data_LuAlCdCu
_cell_length_a 4.7331
_cell_length_b 4.7331
_cell_length_c 4.7331
_cell_angle_alpha 60.00
_cell_angle_beta 60.00
_cell_angle_gamma 60.00
_space_group_name_H-M_alt 'P 1'
_space_group_IT_number 1
loop_
_space_group_symop_operation_xyz
'x,y,z'
loop_
_atom_site_label
_atom_site_fract_x
_atom_site_fract_y
_atom_site_fract_z
Al1 0.0000 0.0000 0.0000
Cd1 0.5000 0.5000 0.5000
Cu1 0.7500 0.7500 0.7500
Lu1 0.2500 0.2500 0.2500



Relative energies, in meV per atom, with the most stable structure set to zero: #one 0; #two 112.



#one
# ZrAlCdCu PBE optimized geometry
# Symmetry: F-43m
# Total magnetization: 0.0 μB/f.u.
data_ZrAlCdCu
_cell_length_a 4.6413
_cell_length_b 4.6413
_cell_length_c 4.6413
_cell_angle_alpha 60.00
_cell_angle_beta 60.00
_cell_angle_gamma 60.00
_space_group_name_H-M_alt 'P 1'
_space_group_IT_number 1
loop_
_space_group_symop_operation_xyz
'x,y,z'
loop_
_atom_site_label
_atom_site_fract_x
_atom_site_fract_y
_atom_site_fract_z
Al1 0.0000 0.0000 0.0000
Cd1 0.2500 0.2500 0.2500
Cu1 0.7500 0.7500 0.7500
Zr1 0.5000 0.5000 0.5000



#two
# ZrAlCdCu PBE optimized geometry
# Symmetry: F-43m
# Total magnetization: 0.0 μB/f.u.
data_ZrAlCdCu
_cell_length_a 4.6562
_cell_length_b 4.6562
_cell_length_c 4.6562
_cell_angle_alpha 60.00
_cell_angle_beta 60.00
_cell_angle_gamma 60.00
_space_group_name_H-M_alt 'P 1'
_space_group_IT_number 1
loop_
_space_group_symop_operation_xyz
'x,y,z'
loop_
_atom_site_label
_atom_site_fract_x
_atom_site_fract_y
_atom_site_fract_z
Al1 0.0000 0.0000 0.0000
Cd1 0.5000 0.5000 0.5000
Cu1 0.7500 0.7500 0.7500
Zr1 0.2500 0.2500 0.2500



Relative energies, in meV per atom, with the most stable structure set to zero: #one 0; #two 34.



#one
# HfAlCdFe PBE optimized geometry
# Symmetry: F-43m
# Total magnetization: 2.1 μB/f.u.
data_HfAlCdFe
_cell_length_a 4.5938
_cell_length_b 4.5938
_cell_length_c 4.5938
_cell_angle_alpha 60.00
_cell_angle_beta 60.00
_cell_angle_gamma 60.00
_space_group_name_H-M_alt 'P 1'
_space_group_IT_number 1
loop_
_space_group_symop_operation_xyz
'x,y,z'
loop_
_atom_site_label
_atom_site_fract_x
_atom_site_fract_y
_atom_site_fract_z
Al1 0.0000 0.0000 0.0000
Cd1 0.5000 0.5000 0.5000
Fe1 0.7500 0.7500 0.7500
Hf1 0.2500 0.2500 0.2500



#two
# HfAlCdFe PBE optimized geometry
# Symmetry: F-43m
# Total magnetization: 1.3 μB/f.u.
data_HfAlCdFe
_cell_length_a 4.5603
_cell_length_b 4.5603
_cell_length_c 4.5603
_cell_angle_alpha 60.00
_cell_angle_beta 60.00
_cell_angle_gamma 60.00
_space_group_name_H-M_alt 'P 1'
_space_group_IT_number 1
loop_
_space_group_symop_operation_xyz
'x,y,z'
loop_
_atom_site_label
_atom_site_fract_x
_atom_site_fract_y
_atom_site_fract_z
Al1 0.0000 0.0000 0.0000
Cd1 0.2500 0.2500 0.2500
Fe1 0.7500 0.7500 0.7500
Hf1 0.5000 0.5000 0.5000



Relative energies, in meV per atom, with the most stable structure set to zero: #one 116; #two 0.



#one
# LiAlCdFe PBE optimized geometry
# Symmetry: F-43m
# Total magnetization: 2.1 μB/f.u.
data_LiAlCdFe
_cell_length_a 4.3895
_cell_length_b 4.3895
_cell_length_c 4.3895
_cell_angle_alpha 60.00
_cell_angle_beta 60.00
_cell_angle_gamma 60.00
_space_group_name_H-M_alt 'P 1'
_space_group_IT_number 1
loop_
_space_group_symop_operation_xyz
'x,y,z'
loop_
_atom_site_label
_atom_site_fract_x
_atom_site_fract_y
_atom_site_fract_z
Al1 0.0000 0.0000 0.0000
Cd1 0.5000 0.5000 0.5000
Fe1 0.7500 0.7500 0.7500
Li1 0.2500 0.2500 0.2500



#two
# LiAlCdFe PBE optimized geometry
# Symmetry: F-43m
# Total magnetization: 2.2 μB/f.u.
data_LiAlCdFe
_cell_length_a 4.3715
_cell_length_b 4.3715
_cell_length_c 4.3715
_cell_angle_alpha 60.00
_cell_angle_beta 60.00
_cell_angle_gamma 60.00
_space_group_name_H-M_alt 'P 1'
_space_group_IT_number 1
loop_
_space_group_symop_operation_xyz
'x,y,z'
loop_
_atom_site_label
_atom_site_fract_x
_atom_site_fract_y
_atom_site_fract_z
Al1 0.0000 0.0000 0.0000
Cd1 0.2500 0.2500 0.2500
Fe1 0.7500 0.7500 0.7500
Li1 0.5000 0.5000 0.5000



Relative energies, in meV per atom, with the most stable structure set to zero: #one 0; #two 71.



#one
# NbAlCdFe PBE optimized geometry
# Symmetry: F-43m
# Total magnetization: 2.5 μB/f.u.
data_NbAlCdFe
_cell_length_a 4.5203
_cell_length_b 4.5203
_cell_length_c 4.5203
_cell_angle_alpha 60.00
_cell_angle_beta 60.00
_cell_angle_gamma 60.00
_space_group_name_H-M_alt 'P 1'
_space_group_IT_number 1
loop_
_space_group_symop_operation_xyz
'x,y,z'
loop_
_atom_site_label
_atom_site_fract_x
_atom_site_fract_y
_atom_site_fract_z
Al1 0.0000 0.0000 0.0000
Cd1 0.5000 0.5000 0.5000
Fe1 0.7500 0.7500 0.7500
Nb1 0.2500 0.2500 0.2500



#two
# NbAlCdFe PBE optimized geometry
# Symmetry: F-43m
# Total magnetization: 0.0 μB/f.u.
data_NbAlCdFe
_cell_length_a 4.4581
_cell_length_b 4.4581
_cell_length_c 4.4581
_cell_angle_alpha 60.00
_cell_angle_beta 60.00
_cell_angle_gamma 60.00
_space_group_name_H-M_alt 'P 1'
_space_group_IT_number 1
loop_
_space_group_symop_operation_xyz
'x,y,z'
loop_
_atom_site_label
_atom_site_fract_x
_atom_site_fract_y
_atom_site_fract_z
Al1 0.0000 0.0000 0.0000
Cd1 0.2500 0.2500 0.2500
Fe1 0.7500 0.7500 0.7500
Nb1 0.5000 0.5000 0.5000



Relative energies, in meV per atom, with the most stable structure set to zero: #one 135; #two 0.



#one
# TaAlCdFe PBE optimized geometry
# Symmetry: F-43m
# Total magnetization: 2.2 μB/f.u.
data_TaAlCdFe
_cell_length_a 4.5144
_cell_length_b 4.5144
_cell_length_c 4.5144
_cell_angle_alpha 60.00
_cell_angle_beta 60.00
_cell_angle_gamma 60.00
_space_group_name_H-M_alt 'P 1'
_space_group_IT_number 1
loop_
_space_group_symop_operation_xyz
'x,y,z'
loop_
_atom_site_label
_atom_site_fract_x
_atom_site_fract_y
_atom_site_fract_z
Al1 0.0000 0.0000 0.0000
Cd1 0.5000 0.5000 0.5000
Fe1 0.7500 0.7500 0.7500
Ta1 0.2500 0.2500 0.2500



#two
# TaAlCdFe PBE optimized geometry
# Symmetry: F-43m
# Total magnetization: 0.0 μB/f.u.
data_TaAlCdFe
_cell_length_a 4.4489
_cell_length_b 4.4489
_cell_length_c 4.4489
_cell_angle_alpha 60.00
_cell_angle_beta 60.00
_cell_angle_gamma 60.00
_space_group_name_H-M_alt 'P 1'
_space_group_IT_number 1
loop_
_space_group_symop_operation_xyz
'x,y,z'
loop_
_atom_site_label
_atom_site_fract_x
_atom_site_fract_y
_atom_site_fract_z
Al1 0.0000 0.0000 0.0000
Cd1 0.2500 0.2500 0.2500
Fe1 0.7500 0.7500 0.7500
Ta1 0.5000 0.5000 0.5000



Relative energies, in meV per atom, with the most stable structure set to zero: #one 193; #two 0.